# 1
Here is a relaxed structure of RbGaHgBr2 from Alexandria. Energies are from PBE.

Crystal system   tetragonal
E_form (uncorrected)   -0.5685 eV/atom
Energy above the lowest structure with this stoichiometry   279 meV per atom

Lattice parameters (Å, degrees): 5.7729 5.7729 6.5198 90.00 90.00 90.00
Sites, in units of the cell vectors:
Rb (0.0000, 0.0000, 0.0000)
Ga (0.0000, 0.0000, 0.5000)
Hg (0.5000, 0.5000, 0.0000)
Br (0.0000, 0.5000, 0.5000)
Br (0.5000, 0.0000, 0.5000)

---

# 2
Here is a relaxed structure of Rb2Ga2HgBr6 from Alexandria. Energies are from PBE.

Crystal system   triclinic
E_form (uncorrected)   -1.0952 eV/atom

Lattice parameters (Å, degrees): 6.1815 8.6074 9.7700 71.97 72.03 77.46
Sites, in units of the cell vectors:
Rb (0.1074, 0.1611, 0.1706)
Rb (0.8926, 0.8389, 0.8294)
Ga (0.2000, 0.3094, 0.6697)
Ga (0.8000, 0.6906, 0.3303)
Hg (0.5000, 0.5000, 0.5000)
Br (0.0114, 0.7878, 0.4572)
Br (0.1114, 0.5840, 0.1417)
Br (0.3349, 0.0412, 0.8284)
Br (0.6651, 0.9588, 0.1716)
Br (0.8886, 0.4160, 0.8583)
Br (0.9886, 0.2122, 0.5428)

---

# 3
Here is a relaxed structure of RbGaHg2Br4 from Alexandria. Energies are from PBE.

Crystal system   orthorhombic
E_form (uncorrected)   -0.8466 eV/atom

Lattice parameters (Å, degrees): 15.2371 14.5384 7.5693 80.46 70.21 29.33
Sites, in units of the cell vectors:
Rb (0.1250, 0.1250, 0.1250)
Rb (0.8750, 0.8750, 0.8750)
Ga (0.3750, 0.3750, 0.3750)
Ga (0.6250, 0.6250, 0.6250)
Hg (0.0232, 0.0232, 0.7268)
Hg (0.2732, 0.2732, 0.9768)
Hg (0.7268, 0.7268, 0.0232)
Hg (0.9768, 0.9768, 0.2732)
Br (0.0560, 0.5958, 0.4773)
Br (0.3708, 0.4773, 0.5958)
Br (0.4042, 0.9440, 0.6292)
Br (0.4773, 0.3708, 0.0560)
Br (0.5227, 0.6292, 0.9440)
Br (0.5958, 0.0560, 0.3708)
Br (0.6292, 0.5227, 0.4042)
Br (0.9440, 0.4042, 0.5227)

---

# 4
Here is a relaxed structure of Rb2GaHgBr6 from Alexandria. Energies are from PBE.

Crystal system   tetragonal
E_form (uncorrected)   -1.0441 eV/atom

Lattice parameters (Å, degrees): 7.8414 7.8414 7.8414 120.19 120.19 89.67
Sites, in units of the cell vectors:
Rb (0.2500, 0.7500, 0.5000)
Rb (0.7500, 0.2500, 0.5000)
Ga (0.0000, 0.0000, 0.0000)
Hg (0.5000, 0.5000, 0.0000)
Br (0.2362, 0.2362, 0.0000)
Br (0.2371, 0.2371, 0.4742)
Br (0.2371, 0.7629, 0.0000)
Br (0.7629, 0.2371, 0.0000)
Br (0.7629, 0.7629, 0.5258)
Br (0.7638, 0.7638, 0.0000)

---

# 5
Here is a relaxed structure of Ga2HgRhBr from Alexandria. Energies are from PBE.

Crystal system   tetragonal
E_form (uncorrected)   0.9143 eV/atom

Lattice parameters (Å, degrees): 5.0529 5.0529 5.9060 90.00 90.00 90.00
Sites, in units of the cell vectors:
Ga (0.0000, 0.5000, 0.0000)
Ga (0.5000, 0.0000, 0.0000)
Hg (0.0000, 0.0000, 0.0000)
Rh (0.5000, 0.5000, 0.5000)
Br (0.0000, 0.0000, 0.5000)

---

# 6
Here is a relaxed structure of GaHgSBr from Alexandria. Energies are from PBE.

Crystal system   monoclinic
E_form (uncorrected)   -0.5198 eV/atom

Lattice parameters (Å, degrees): 3.7111 3.7111 10.7763 99.34 99.34 60.01
Sites, in units of the cell vectors:
Ga (0.0000, 0.0000, 0.0000)
Hg (0.1957, 0.1957, 0.5647)
S (0.6367, 0.6367, 0.9045)
Br (0.0686, 0.0686, 0.2156)

---

# 7
Here is a relaxed structure of GaHgSeBr from Alexandria. Energies are from PBE.

Crystal system   monoclinic
E_form (uncorrected)   -0.5060 eV/atom

Lattice parameters (Å, degrees): 3.8663 3.8663 10.7104 99.71 99.71 59.99
Sites, in units of the cell vectors:
Ga (0.0000, 0.0000, 0.0000)
Hg (0.8038, 0.8038, 0.4350)
Se (0.3665, 0.3665, 0.1065)
Br (0.9314, 0.9314, 0.7821)

---

# 8
Here is a relaxed structure of GaHgSe2Br from Alexandria. Energies are from PBE.

Crystal system   tetragonal
E_form (uncorrected)   0.1062 eV/atom
Energy above the lowest structure with this stoichiometry   0 meV per atom

Lattice parameters (Å, degrees): 5.0937 5.0937 5.1339 90.00 90.00 90.00
Sites, in units of the cell vectors:
Ga (0.0000, 0.0000, 0.0000)
Hg (0.5000, 0.5000, 0.5000)
Se (0.0000, 0.5000, 0.0000)
Se (0.5000, 0.0000, 0.0000)
Br (0.0000, 0.0000, 0.5000)

---

# 9
Here is a relaxed structure of GaHgSeBr2 from Alexandria. Energies are from PBE.

Crystal system   tetragonal
E_form (uncorrected)   -0.1252 eV/atom
Energy above the lowest structure with this stoichiometry   0 meV per atom

Lattice parameters (Å, degrees): 5.1559 5.1559 5.2172 90.00 90.00 90.00
Sites, in units of the cell vectors:
Ga (0.0000, 0.0000, 0.0000)
Hg (0.5000, 0.5000, 0.5000)
Se (0.0000, 0.0000, 0.5000)
Br (0.0000, 0.5000, 0.0000)
Br (0.5000, 0.0000, 0.0000)

---

# 10
Here is a relaxed structure of GaHgSe2Br from Alexandria. Energies are from PBE.

Crystal system   tetragonal
E_form (uncorrected)   0.2746 eV/atom
Energy above the lowest structure with this stoichiometry   168 meV per atom

Lattice parameters (Å, degrees): 5.2314 5.2314 5.8572 90.00 90.00 90.00
Sites, in units of the cell vectors:
Ga (0.0000, 0.0000, 0.0000)
Hg (0.5000, 0.5000, 0.5000)
Se (0.0000, 0.5000, 0.5000)
Se (0.5000, 0.0000, 0.5000)
Br (0.5000, 0.5000, 0.0000)

---

# 11
Here is a relaxed structure of GaHgSeBr2 from Alexandria. Energies are from PBE.

Crystal system   tetragonal
E_form (uncorrected)   0.0211 eV/atom
Energy above the lowest structure with this stoichiometry   146 meV per atom

Lattice parameters (Å, degrees): 5.6107 5.6107 5.2477 90.00 90.00 90.00
Sites, in units of the cell vectors:
Ga (0.0000, 0.0000, 0.0000)
Hg (0.5000, 0.5000, 0.5000)
Se (0.5000, 0.5000, 0.0000)
Br (0.0000, 0.5000, 0.5000)
Br (0.5000, 0.0000, 0.5000)

---

# 12
Here is a relaxed structure of GaSnHgBr6 from Alexandria. Energies are from PBE.

Crystal system   trigonal
E_form (uncorrected)   -0.5627 eV/atom

Lattice parameters (Å, degrees): 6.8891 6.8891 9.1604 90.00 90.00 120.00
Sites, in units of the cell vectors:
Ga (0.0000, 0.0000, 0.0000)
Sn (0.3333, 0.6667, 0.0000)
Hg (0.6667, 0.3333, 0.5000)
Br (0.0091, 0.3059, 0.8318)
Br (0.0091, 0.7032, 0.1682)
Br (0.2968, 0.3059, 0.1682)
Br (0.2968, 0.9909, 0.8318)
Br (0.6941, 0.7032, 0.8318)
Br (0.6941, 0.9909, 0.1682)

---

# 13
Here is a relaxed structure of GaHgTeBr from Alexandria. Energies are from PBE.

Crystal system   trigonal
E_form (uncorrected)   -0.3875 eV/atom

Lattice parameters (Å, degrees): 4.1418 4.1418 8.9941 90.00 90.00 120.00
Sites, in units of the cell vectors:
Ga (0.0000, 0.0000, 0.0000)
Hg (0.0000, 0.0000, 0.2819)
Te (0.3333, 0.6667, 0.8608)
Br (0.6667, 0.3333, 0.4639)

---

One value per record, in order, for uncorrected energy: -2.0969, -2.7614, -2.2578, -2.5742, -2.1617, -2.8021, -2.6275, -2.2879, -2.1570, -2.1195, -2.0107, -2.4925, -2.4233 eV/atom.